[1]
Below is an optimized crystal structure of BeRuSe, with properties calculated at the PBE-GGA level.

a b c (Å): 4.611 4.611 4.611
angles (deg): 140.26 140.26 57.46
Positions (direct):
Ru1 0.353 0.353 0.000
Se1 0.660 0.660 0.000
Be1 0.987 0.987 0.000

For the total moment, the calculation gives 0.0 Bohr magnetons per cell. For the density of states at the Fermi level, the calculation gives 2.53 states/eV per cell. The value obtained for the energy relative to the elements, uncorrected is 10 kJ/mol of atoms. As for the offset from the most stable computed form: 0 kJ/mol of formula units. The calculated total energy is -5.396 eV per atom.

---

[2]
Below is an optimized crystal structure of AgHgIr2, with properties calculated at the PBE-GGA level.

a b c (Å): 5.080 5.080 2.839
angles (deg): 90.00 90.00 113.30
Last column: magnetic moment on the atom in μB.
Positions (direct):
Ir1 0.000 0.000 0.000  0.35
Ir2 0.500 0.500 0.000  0.35
Hg1 0.000 0.500 0.500  0.00
Ag1 0.500 0.000 0.500  0.04

For the total moment, the calculation gives 0.7 Bohr magnetons per cell. For the density of states at the Fermi level, the calculation gives 6.01 states/eV per cell. Its formation enthalpy at 0 K is 638.8 meV/atom. The calculated total energy is -4.580 eV per atom.

---

[3]
Below is an optimized crystal structure of LiDyNbRu, with properties calculated at the PBE-GGA level.

a b c (Å): 4.675 4.675 4.675
angles (deg): 60.00 60.00 60.00
Positions (direct):
Ru1 0.750 0.750 0.750
Nb1 0.500 0.500 0.500
Li1 0.250 0.250 0.250
Dy1 0.000 0.000 0.000

For the total moment, the calculation gives 0.0 Bohr magnetons per cell. For the density of states at the Fermi level, the calculation gives 2.07 states/eV per cell. Its formation enthalpy at 0 K is -33.4 meV/atom. The calculated total energy is -6.499 eV per atom.

---

[4]
Below is an optimized crystal structure of DyVCo2, with properties calculated at the PBE-GGA level.

a b c (Å): 3.971 3.971 5.385
angles (deg): 68.37 68.37 60.00
Positions (direct):
V1 0.000 0.000 0.000
Co1 0.702 0.702 0.894
Co2 0.298 0.298 0.106
Dy1 0.500 0.500 0.500

For the total moment, the calculation gives 0.0 Bohr magnetons per cell. For the density of states at the Fermi level, the calculation gives 5.54 states/eV per cell. Its formation enthalpy at 0 K is -95.7 meV/atom. As for the offset from the most stable computed form: 0 kJ/mol of formula units. The calculated total energy is -7.079 eV per atom.

---

[5]
Below is an optimized crystal structure of NiIrSe3, with properties calculated at the PBE-GGA level.

a b c (Å): 4.899 4.899 4.899
angles (deg): 90.00 90.00 90.00
Last column: magnetic moment on the atom in μB.
Positions (direct):
Ni1 0.500 0.500 0.500  0.98
Ir1 0.000 0.000 0.000  0.10
Se1 0.000 0.500 0.000  0.17
Se2 0.000 0.000 0.500  0.11
Se3 0.500 0.000 0.000  0.17

For the total moment, the calculation gives 1.7 Bohr magnetons per cell. For the density of states at the Fermi level, the calculation gives 9.77 states/eV per cell. The value obtained for the energy relative to the elements, uncorrected is 92 kJ/mol of atoms. As for the offset from the most stable computed form: 27 kJ/mol of formula units. The calculated total energy is -4.063 eV per atom.

---

[6]
Below is an optimized crystal structure of TmTh2Sc6, with properties calculated at the PBE-GGA level.

a b c (Å): 3.339 9.747 9.747
angles (deg): 56.14 110.05 110.05
Positions (direct):
Tm1 0.000 0.000 0.000
Th1 0.337 0.668 0.668
Th2 0.663 0.332 0.332
Sc1 0.830 0.334 0.998
Sc2 0.170 0.002 0.666
Sc3 0.170 0.666 0.002
Sc4 0.500 0.334 0.666
Sc5 0.830 0.998 0.334
Sc6 0.500 0.666 0.334

For the total moment, the calculation gives 0.0 Bohr magnetons per cell. For the density of states at the Fermi level, the calculation gives 15.48 states/eV per cell. Its formation enthalpy at 0 K is -88.5 meV/atom. As for the offset from the most stable computed form: 0 kJ/mol of formula units. The calculated total energy is -6.455 eV per atom.

---

[7]
Below is an optimized crystal structure of FeTcI2, with properties calculated at the PBE-GGA level.

a b c (Å): 4.795 4.795 4.795
angles (deg): 60.00 60.00 60.00
Last column: magnetic moment on the atom in μB.
Positions (direct):
I1 0.250 0.250 0.250  0.03
I2 0.750 0.750 0.750  0.03
Tc1 0.500 0.500 0.500  -0.13
Fe1 0.000 0.000 0.000  2.82

For the total moment, the calculation gives 2.7 Bohr magnetons per cell. For the density of states at the Fermi level, the calculation gives 3.60 states/eV per cell. The value obtained for the energy relative to the elements, uncorrected is 99 kJ/mol of atoms. As for the offset from the most stable computed form: 11 kJ/mol of formula units. The calculated total energy is -4.456 eV per atom.

---

[8]
Below is an optimized crystal structure of HoTh4Sc2, with properties calculated at the PBE-GGA level.

a b c (Å): 3.520 3.520 19.558
angles (deg): 84.84 84.84 60.00
Positions (direct):
Ho1 0.000 0.000 0.000
Th1 0.142 0.142 0.573
Th2 0.284 0.284 0.147
Th3 0.716 0.716 0.853
Th4 0.858 0.858 0.427
Sc1 0.428 0.428 0.715
Sc2 0.572 0.572 0.285

For the total moment, the calculation gives 0.0 Bohr magnetons per cell. For the density of states at the Fermi level, the calculation gives 10.05 states/eV per cell. Its formation enthalpy at 0 K is 47.1 meV/atom. As for the offset from the most stable computed form: 0 kJ/mol of formula units. The calculated total energy is -6.656 eV per atom.